[1]
## Ce4Ga2Os (GGA-PBE)

Data for a relaxed Ce4Ga2Os crystal.

Results
calculated total energy = -5.96 eV/atom
energy relative to the elements = -0.105 eV/atom
distance to the lowest polymorph of the same formula = 196.6 meV per atom

Cell lengths 7.448, 3.226, 7.805 Å; angles 90.00, 107.51, 90.00 degrees
Positions (direct):
Ce 0.162 0.000 0.360
Ce 0.303 0.500 0.956
Ce 0.697 0.500 0.044
Ce 0.838 0.000 0.640
Ga 0.474 0.500 0.654
Ga 0.526 0.500 0.346
Os 0.000 0.000 0.000

---

[2]
## SmScCd (GGA-PBE)

Data for a relaxed SmScCd crystal.

Results
calculated total energy = -4.09 eV/atom
energy relative to the elements = -0.100 eV/atom
distance to the lowest polymorph of the same formula = 72.6 meV per atom

Cell lengths 3.888, 3.902, 10.652 Å; angles 90.00, 90.07, 90.00 degrees
Positions (direct):
Sm 0.250 0.250 0.241
Sm 0.750 0.750 0.759
Sc 0.250 0.250 0.571
Sc 0.750 0.750 0.429
Cd 0.250 0.250 0.924
Cd 0.750 0.750 0.076

---

[3]
## Pr6Dy8Y (GGA-PBE)

Data for a relaxed Pr6Dy8Y crystal.

Results
calculated total energy = -4.68 eV/atom
energy relative to the elements = 0.119 eV/atom

Cell lengths 8.784, 8.784, 8.784 Å; angles 62.88, 62.88, 62.88 degrees
Positions (direct):
Pr 0.037 0.730 0.601
Pr 0.270 0.399 0.963
Pr 0.399 0.963 0.270
Pr 0.601 0.037 0.730
Pr 0.730 0.601 0.037
Pr 0.963 0.270 0.399
Dy 0.077 0.077 0.077
Dy 0.216 0.251 0.612
Dy 0.251 0.612 0.216
Dy 0.388 0.784 0.749
Dy 0.612 0.216 0.251
Dy 0.749 0.388 0.784
Dy 0.784 0.749 0.388
Dy 0.923 0.923 0.923
Y 0.500 0.500 0.500

---

[4]
## Rb2NaSe2 (GGA-PBE)

Data for a relaxed Rb2NaSe2 crystal.

Results
formation energy without anion corrections = -731 meV/atom
calculated total energy = -2.78 eV/atom
distance to the lowest polymorph of the same formula = 187.6 meV per atom

Cell lengths 9.471, 9.471, 3.956 Å; angles 90.00, 90.00, 90.00 degrees
Positions (direct):
Rb 0.125 0.375 0.000
Rb 0.375 0.875 0.000
Rb 0.625 0.125 0.000
Rb 0.875 0.625 0.000
Na 0.000 0.000 0.500
Na 0.500 0.500 0.500
Se 0.177 0.677 0.500
Se 0.323 0.177 0.500
Se 0.677 0.823 0.500
Se 0.823 0.323 0.500

---

[5]
## Ce2RhS5 (GGA-PBE)

Data for a relaxed Ce2RhS5 crystal.

Results
formation energy without anion corrections = -1445 meV/atom
calculated total energy = -6.43 eV/atom

Cell lengths 7.723, 10.546, 3.873 Å; angles 90.00, 90.00, 90.00 degrees
Positions (direct):
Ce 0.091 0.176 0.000
Ce 0.409 0.676 0.000
Ce 0.591 0.324 0.000
Ce 0.909 0.824 0.000
Rh 0.000 0.500 0.500
Rh 0.500 0.000 0.500
S 0.000 0.000 0.500
S 0.134 0.705 0.500
S 0.179 0.444 0.000
S 0.321 0.944 0.000
S 0.366 0.205 0.500
S 0.500 0.500 0.500
S 0.634 0.795 0.500
S 0.679 0.056 0.000
S 0.821 0.556 0.000
S 0.866 0.295 0.500

---

[6]
## Cs3Nd2PtO6 (GGA-PBE)

Data for a relaxed Cs3Nd2PtO6 crystal.

Results
formation energy without anion corrections = -1841 meV/atom
calculated total energy = -5.83 eV/atom

Cell lengths 6.264, 6.264, 7.635 Å; angles 104.68, 104.68, 111.61 degrees
Positions (direct):
Cs 0.000 0.000 0.000
Cs 0.335 0.665 0.000
Cs 0.665 0.335 0.000
Nd 0.163 0.837 0.500
Nd 0.837 0.163 0.500
Pt 0.500 0.500 0.500
O 0.137 0.427 0.373
O 0.163 0.163 0.723
O 0.427 0.137 0.373
O 0.573 0.863 0.627
O 0.837 0.837 0.277
O 0.863 0.573 0.627

---

[7]
## NbAlAs2Se (GGA-PBE)

Data for a relaxed NbAlAs2Se crystal.

Results
formation energy without anion corrections = 235 meV/atom
calculated total energy = -5.08 eV/atom
distance to the lowest polymorph of the same formula = 0.0 meV per atom

Cell lengths 5.062, 5.062, 4.999 Å; angles 90.00, 90.00, 90.00 degrees
Positions (direct):
Nb 0.000 0.000 0.000
Al 0.500 0.500 0.500
As 0.000 0.500 0.000
As 0.500 0.000 0.000
Se 0.000 0.000 0.500

---

[8]
## PmY2Pd3 (GGA-PBE)

Data for a relaxed PmY2Pd3 crystal.

Results
calculated total energy = -6.38 eV/atom
energy relative to the elements = -0.837 eV/atom
distance to the lowest polymorph of the same formula = 3.5 meV per atom

Cell lengths 3.542, 3.542, 10.660 Å; angles 90.00, 90.00, 90.00 degrees
Positions (direct):
Pm 0.000 0.000 0.000
Y 0.000 0.000 0.336
Y 0.000 0.000 0.664
Pd 0.500 0.500 0.175
Pd 0.500 0.500 0.500
Pd 0.500 0.500 0.825

---

Short version: spin magnetization = 0.286 0.000 0.000 0.000 0.133 0.090 0.000 0.000 μB/atom, in the order given.